Record 1
Here is a relaxed structure of CoGe3Rh from the Alexandria database. Energies are from PBE-GGA.

Unit cell a=4.4389 b=4.4389 c=4.4389 alpha=90.00 beta=90.00 gamma=90.00
Last column: nearest neighbours and their distance in Å.
Atoms (fractional coordinates):
1 Co 0.0000 0.0000 0.0000  6 Ge 2.22
2 Ge 0.0000 0.5000 0.0000  2 Co 2.22
3 Ge 0.0000 0.0000 0.5000  2 Co 2.22
4 Ge 0.5000 0.0000 0.0000  2 Co 2.22
5 Rh 0.5000 0.5000 0.5000  12 Ge 3.14

* total magnetization: 0.0 μB/f.u.
* E above lowest polymorph: 0.000 eV per atom
* formation energy from the elements: 364 meV per atom

Record 2
Here is a relaxed structure of Be2MoAu from the Alexandria database. Energies are from PBE-GGA.

Unit cell a=2.8345 b=2.8345 c=6.2118 alpha=90.00 beta=90.00 gamma=90.00
Last column: nearest neighbours and their distance in Å.
Atoms (fractional coordinates):
1 Be 0.0000 0.0000 0.9891  4 Au 2.49, 4 Mo 2.58
2 Be 0.0000 0.0000 0.5109  4 Au 2.49, 4 Mo 2.58
3 Mo 0.5000 0.5000 0.2500  8 Be 2.58, 4 Mo 2.83
4 Au 0.5000 0.5000 0.7500  8 Be 2.49

* total magnetization: 0.0 μB/f.u.
* E above lowest polymorph: 0.010 eV per atom
* formation energy from the elements: 15 meV per atom

Record 3
Here is a relaxed structure of LiPm2Zn6 from the Alexandria database. Energies are from PBE-GGA.

Unit cell a=5.7299 b=5.9442 c=5.9442 alpha=59.90 beta=89.91 gamma=89.91
Last column: nearest neighbours and their distance in Å.
Atoms (fractional coordinates):
1 Li 0.0000 0.0000 0.0000  6 Zn 2.65
2 Pm 0.8380 0.6666 0.6666  12 Zn 3.13-3.30
3 Pm 0.1620 0.3334 0.3334  12 Zn 3.13-3.30
4 Zn 0.3345 0.3545 0.8228  4 Zn 2.63-2.78, 1 Li 2.65
5 Zn 0.3346 0.8220 0.8220  4 Zn 2.63-2.78, 1 Li 2.65
6 Zn 0.3345 0.8228 0.3545  4 Zn 2.63-2.78, 1 Li 2.65
7 Zn 0.6655 0.6455 0.1772  4 Zn 2.63-2.78, 1 Li 2.65
8 Zn 0.6654 0.1780 0.1780  4 Zn 2.63-2.78, 1 Li 2.65
9 Zn 0.6655 0.1772 0.6455  4 Zn 2.63-2.78, 1 Li 2.65

* total magnetization: 0.0 μB/f.u.
* E above lowest polymorph: 0.002 eV per atom
* formation energy from the elements: -243 meV per atom